TaZnW3: optimized geometry, PBE-GGA.

Unit cell a=4.7870 b=4.7870 c=4.7870 alpha=90.00 beta=90.00 gamma=90.00
Atoms (fractional coordinates):
Ta 0.0000 0.0000 0.0000
Zn 0.5000 0.5000 0.5000
W 0.0000 0.0000 0.5000
W 0.0000 0.5000 0.0000
W 0.5000 0.0000 0.0000

The energy relative to the elements comes out at 2.3229 eV per atom. The value obtained for the polymorph energy (0 for the lowest one) is 52.9 kJ per mole of atoms. As for the energy: -8.07 eV per atom.